[1]
First-principles (GGA-PBE) data for crystalline Ba2DyAgSe4 at its relaxed geometry, as listed in Alexandria.

Unit cell a=7.588 b=4.408 c=7.762 alpha=90.00 beta=110.57 gamma=90.00
Fractional coordinates of all 8 atoms:
1 Ba 0.000 0.000 0.000
2 Ba 0.000 0.500 0.500
3 Dy 0.500 0.000 0.500
4 Ag 0.500 0.500 0.000
5 Se 0.281 0.500 0.274
6 Se 0.292 0.000 0.754
7 Se 0.708 0.000 0.246
8 Se 0.719 0.500 0.726

Values from the calculation:
E_form (uncorrected): -1.53 eV/atom
Magnetization: 0.00 Bohr magnetons per cell

[2]
First-principles (GGA-PBE) data for crystalline BaDyAg2Se4 at its relaxed geometry, as listed in Alexandria.

Unit cell a=6.706 b=6.706 c=6.706 alpha=115.72 beta=111.78 gamma=101.25
Fractional coordinates of all 8 atoms:
1 Ba 0.000 0.000 0.000
2 Dy 0.500 0.500 0.000
3 Ag 0.312 0.812 0.500
4 Ag 0.688 0.188 0.500
5 Se 0.094 0.093 0.571
6 Se 0.478 0.907 0.001
7 Se 0.522 0.524 0.429
8 Se 0.906 0.476 0.999

Values from the calculation:
E_form (uncorrected): -1.05 eV/atom
Magnetization: 0.00 Bohr magnetons per cell

[3]
First-principles (GGA-PBE) data for crystalline BaDy2AgSe4 at its relaxed geometry, as listed in Alexandria.

Unit cell a=7.336 b=7.336 c=14.489 alpha=90.00 beta=90.00 gamma=146.15
Fractional coordinates of all 16 atoms:
1 Ba 0.130 0.870 0.750
2 Ba 0.870 0.130 0.250
3 Dy 0.377 0.623 0.560
4 Dy 0.377 0.623 0.940
5 Dy 0.623 0.377 0.060
6 Dy 0.623 0.377 0.440
7 Ag 0.148 0.852 0.250
8 Ag 0.852 0.148 0.750
9 Se 0.000 0.000 0.000
10 Se 0.000 0.000 0.500
11 Se 0.266 0.734 0.107
12 Se 0.266 0.734 0.393
13 Se 0.457 0.543 0.750
14 Se 0.543 0.457 0.250
15 Se 0.734 0.266 0.607
16 Se 0.734 0.266 0.893

Values from the calculation:
E_form (uncorrected): -1.55 eV/atom
Magnetization: 0.00 Bohr magnetons per cell